1.
Ho6Mg2Os | PBE | relaxed

Lattice parameters (Å, degrees): 5.4983 8.4950 7.5293 124.34 111.42 90.00
Closest atoms and distances in Å follow each position.
Atoms (fractional coordinates):
1 Mg 0.6391 0.6391 0.2781  1 Mg 3.10, 8 Ho 3.16-3.39
2 Mg 0.3609 0.3609 0.7219  1 Mg 3.10, 8 Ho 3.16-3.39
3 Ho 0.5000 0.8240 0.0000  5 Ho 2.99-3.34, 2 Os 3.13, 2 Mg 3.16
4 Ho 0.8453 0.5783 0.6910  1 Os 2.85
5 Ho 0.1547 0.8874 0.3090  1 Os 2.85
6 Ho 0.5000 0.1760 0.0000  5 Ho 2.99-3.34, 2 Os 3.13, 2 Mg 3.16
7 Ho 0.8453 0.1126 0.6910  1 Os 2.85
8 Ho 0.1547 0.4217 0.3090  1 Os 2.85
9 Os 0.0000 0.0000 0.0000  8 Ho 2.85-3.13

Calculated values
Calculated formation energy = 133 meV/atom
Space-group type = No. 71

***

2.
LiHoZn2Ge2 | PBE | relaxed

Lattice parameters (Å, degrees): 4.2547 4.2547 6.8063 90.00 90.00 120.00
Closest atoms and distances in Å follow each position.
Atoms (fractional coordinates):
1 Ge 0.6667 0.3333 0.7494  3 Zn 2.51
2 Ge 0.3333 0.6667 0.2506  3 Zn 2.51
3 Zn 0.3333 0.6667 0.6748  3 Ge 2.51, 3 Li 2.73
4 Zn 0.6667 0.3333 0.3252  3 Ge 2.51, 3 Li 2.73
5 Li 0.0000 0.0000 0.5000  6 Zn 2.73, 6 Ge 2.99
6 Ho 0.0000 0.0000 0.0000  6 Ge 2.99, 6 Zn 3.31

Calculated values
Calculated formation energy = -468 meV/atom
Space-group type = No. 164